Entry 1:
This record from Alexandria via LeMat-Bulk describes an optimized crystal structure of Sc2Ga2Re. The functional is PBE.

Properties
- SG: P4/mbm (127)
- Density: 7.772 g/cm3
- Formation energy from the elements: -0.341 eV/atom

Structure (POSCAR):
```
Sc2Ga2Re
1.0
6.8827 0.0000 0.0000
0.0000 6.8827 0.0000
0.0000 0.0000 3.7485
Ga Re Sc
4 2 4
Direct
0.1301 0.3699 0.0000 Ga
0.3699 0.8699 0.0000 Ga
0.8699 0.6301 0.0000 Ga
0.6301 0.1301 0.0000 Ga
0.0000 0.0000 0.0000 Re
0.5000 0.5000 0.0000 Re
0.6788 0.8212 0.5000 Sc
0.8212 0.3212 0.5000 Sc
0.1788 0.6788 0.5000 Sc
0.3212 0.1788 0.5000 Sc
```

***

Entry 2:
This record from Alexandria via LeMat-Bulk describes an optimized crystal structure of ScGaRe. The functional is PBE.

Properties
- SG: Cmcm (63)
- Density: 9.864 g/cm3
- Formation energy from the elements: -0.171 eV/atom

Structure (POSCAR):
```
ScGaRe
1.0
-1.2291 0.1038 -3.8493
-0.7735 -2.9813 0.1666
-7.8543 0.5832 2.5235
Ga Re Sc
2 2 2
Direct
0.7500 0.5470 0.9061 Ga
0.2500 0.4530 0.0939 Ga
0.7500 0.7136 0.5729 Re
0.2500 0.2864 0.4271 Re
0.2500 0.1164 0.7673 Sc
0.7500 0.8836 0.2327 Sc
```

***

Entry 3:
This record from Alexandria via LeMat-Bulk describes an optimized crystal structure of ScGa3Re. The functional is PBE.

Properties
- SG: Pm-3m (221)
- Density: 6.719 g/cm3
- Formation energy from the elements: 0.154 eV/atom

Structure (POSCAR):
```
ScGa3Re
1.0
4.7742 0.0000 0.0000
0.0000 4.7742 0.0000
0.0000 0.0000 4.7742
Ga Sc Re
3 1 1
Direct
0.0000 0.5000 0.0000 Ga
0.0000 0.0000 0.5000 Ga
0.5000 0.0000 0.0000 Ga
0.5000 0.5000 0.5000 Sc
0.0000 0.0000 0.0000 Re
```